[1]
The following is a DFT calculation (PBE) of an optimized crystal structure of LiAc4Pu3Se8.

The energy relative to the elements, uncorrected comes out at -1.678 eV per atom. Its magnetization is 53.3 μB/cell.

The structure belongs to space group R-3m (No. 166, hexagonal axes); the cell edges are 8.6454, 8.6454 and 21.0018 Å and the angles 90.00°, 90.00° and 120.00°. The distinct sites, in fractional coordinates, are Li at (0.0000, 0.0000, 0.0000), Ac at (0.0000, 0.0000, 0.5000), Ac at (0.0000, 0.5000, 0.5000), Pu at (0.0000, 0.5000, 0.0000), Se at (0.0000, 0.0000, 0.2574) and Se at (0.0038, 0.5019, 0.7424).

[2]
The following is a DFT calculation (PBE) of an optimized crystal structure of LiAc2Pu3Se6.

The energy relative to the elements, uncorrected comes out at -1.600 eV per atom. Its magnetization is 35.0 μB/cell.

The structure belongs to space group C2/m (No. 12); the cell edges are 18.656, 4.268 and 8.570 Å and the angles 90.00°, 104.39° and 90.00°. The distinct sites, in fractional coordinates, are Li at (0.000, 0.000, 0.000), Ac at (0.163, 0.500, 0.326), Pu at (0.000, 0.000, 0.500), Pu at (0.168, 0.500, 0.832), Se at (0.006, 0.500, 0.752), Se at (0.163, 0.000, 0.593) and Se at (0.164, 0.000, 0.065).

[3]
The following is a DFT calculation (PBE) of an optimized crystal structure of LiAcPuSi.

The energy relative to the elements, uncorrected comes out at -0.046 eV per atom. Its magnetization is 25.3 μB/cell.

The structure belongs to space group F-43m (No. 216); the cell edges are 7.457, 7.457 and 7.457 Å and the angles 90.00°, 90.00° and 90.00°. The distinct sites, in fractional coordinates, are Li at (0.000, 0.000, 0.000), Ac at (0.250, 0.250, 0.250), Pu at (0.250, 0.250, 0.750) and Si at (0.000, 0.000, 0.500).

[4]
The following is a DFT calculation (PBE) of an optimized crystal structure of LiAcPuTc.

Its formation energy is 0.294 eV/atom. Its magnetization is 20.2 μB/cell.

The structure belongs to space group F-43m (No. 216); the cell edges are 7.229, 7.229 and 7.229 Å and the angles 90.00°, 90.00° and 90.00°. The distinct sites, in fractional coordinates, are Li at (0.000, 0.000, 0.000), Ac at (0.250, 0.250, 0.250), Pu at (0.250, 0.250, 0.750) and Tc at (0.000, 0.000, 0.500).

[5]
The following is a DFT calculation (PBE) of an optimized crystal structure of LiAcPuTe3.

The energy relative to the elements, uncorrected comes out at -1.243 eV per atom. Its magnetization is 11.7 μB/cell.

The structure belongs to space group P2_1/m (No. 11); the cell edges are 9.221, 4.472 and 9.834 Å and the angles 90.00°, 103.74° and 90.00°. The distinct sites, in fractional coordinates, are Li at (0.088, 0.250, 0.087), Ac at (0.187, 0.250, 0.734), Pu at (0.332, 0.750, 0.343), Te at (0.097, 0.250, 0.371), Te at (0.223, 0.750, 0.005) and Te at (0.434, 0.750, 0.674).

[6]
The following is a DFT calculation (PBE) of an optimized crystal structure of LiAc2PuTe4.

The energy relative to the elements, uncorrected comes out at -1.307 eV per atom. Its magnetization is 6.1 μB/cell.

The structure belongs to space group P2/m (No. 10); the cell edges are 7.858, 4.609 and 8.012 Å and the angles 90.00°, 109.99° and 90.00°. The distinct sites, in fractional coordinates, are Li at (0.000, 0.000, 0.000), Ac at (0.500, 0.000, 0.500), Ac at (0.500, 0.500, 0.000), Pu at (0.000, 0.500, 0.500), Te at (0.227, 0.500, 0.237) and Te at (0.228, 0.000, 0.747).

[7]
The following is a DFT calculation (PBE) of an optimized crystal structure of LiAcPu2Te4.

The energy relative to the elements, uncorrected comes out at -1.178 eV per atom. Its magnetization is 11.7 μB/cell.

The structure belongs to space group P2/m (No. 10); the cell edges are 7.762, 4.533 and 7.931 Å and the angles 90.00°, 109.39° and 90.00°. The distinct sites, in fractional coordinates, are Li at (0.000, 0.000, 0.000), Ac at (0.500, 0.500, 0.000), Pu at (0.000, 0.500, 0.500), Pu at (0.500, 0.000, 0.500), Te at (0.235, 0.000, 0.739) and Te at (0.242, 0.500, 0.254).

[8]
The following is a DFT calculation (PBE) of an optimized crystal structure of LiAcPuTl.

Its formation energy is 0.105 eV/atom. Its magnetization is 27.6 μB/cell.

The structure belongs to space group F-43m (No. 216); the cell edges are 7.665, 7.665 and 7.665 Å and the angles 90.00°, 90.00° and 90.00°. The distinct sites, in fractional coordinates, are Li at (0.000, 0.000, 0.000), Ac at (0.250, 0.250, 0.750), Pu at (0.000, 0.000, 0.500) and Tl at (0.250, 0.250, 0.250).